(1)
DFT (PBE) results for a relaxed structure of Hf3TiSn.

Values from the calculation:
D(E_F): 5.086 states/eV per cell
polymorph energy (0 for the lowest one): 1268 meV/atom
crystal system: cubic

Lattice parameters (Å, degrees): 5.2108 5.2108 5.2108 90.00 90.00 90.00
Site moments in Bohr magnetons follow the coordinates.
Atoms (fractional coordinates):
Hf: 0.0000 0.0000 0.5000  -0.01
Hf: 0.0000 0.5000 0.0000  0.02
Hf: 0.5000 0.0000 0.0000  0.04
Ti: 0.5000 0.5000 0.5000  1.29
Sn: 0.0000 0.0000 0.0000  0.01

=====

(2)
DFT (PBE) results for a relaxed structure of Hf3TiSn.

Values from the calculation:
D(E_F): 8.980 states/eV per cell
polymorph energy (0 for the lowest one): 832 meV/atom
crystal system: cubic

Lattice parameters (Å, degrees): 4.9292 4.9292 4.9292 90.00 90.00 90.00
Atoms (fractional coordinates):
Ti: 0.0000 0.0000 0.0000
Sn: 0.5000 0.5000 0.5000
Hf: 0.5000 0.0000 0.0000
Hf: 0.0000 0.5000 0.0000
Hf: 0.0000 0.0000 0.5000

=====

(3)
DFT (PBE) results for a relaxed structure of HfTi3Sn.

Values from the calculation:
D(E_F): 9.417 states/eV per cell
polymorph energy (0 for the lowest one): 9 meV/atom
crystal system: monoclinic

Lattice parameters (Å, degrees): 2.9291 4.7697 14.4469 109.26 90.00 90.00
Atoms (fractional coordinates):
Ti: 0.5000 0.8765 0.1214
Ti: 0.5000 0.6957 0.4411
Ti: 0.5000 0.2956 0.5415
Ti: 0.5000 0.1149 0.8613
Ti: 0.0000 0.3010 0.0468
Ti: 0.0000 0.6904 0.9359
Sn: 0.0000 0.8914 0.6375
Sn: 0.0000 0.0998 0.3450
Hf: 0.5000 0.5013 0.7476
Hf: 0.5000 0.4901 0.2351

=====

(4)
DFT (PBE) results for a relaxed structure of Hf12TiSn6.

Values from the calculation:
D(E_F): 14.908 states/eV per cell
crystal system: trigonal

Lattice parameters (Å, degrees): 7.4710 7.4710 7.4710 90.69 90.69 90.69
Atoms (fractional coordinates):
Hf: 0.6261 0.9434 0.8555
Hf: 0.8555 0.6261 0.9434
Hf: 0.0566 0.1445 0.3739
Hf: 0.8029 0.5207 0.4448
Hf: 0.5552 0.1971 0.4793
Hf: 0.3739 0.0566 0.1445
Hf: 0.4793 0.5552 0.1971
Hf: 0.1971 0.4793 0.5552
Hf: 0.5207 0.4448 0.8029
Hf: 0.9434 0.8555 0.6261
Hf: 0.4448 0.8029 0.5207
Hf: 0.1445 0.3739 0.0566
Sn: 0.2725 0.1237 0.7404
Sn: 0.1237 0.7404 0.2725
Sn: 0.2596 0.7275 0.8763
Sn: 0.7275 0.8763 0.2596
Sn: 0.8763 0.2596 0.7275
Sn: 0.7404 0.2725 0.1237
Ti: 0.0000 0.0000 0.0000

=====

(5)
DFT (PBE) results for a relaxed structure of Hf3TiSn.

Values from the calculation:
D(E_F): 26.401 states/eV per cell
polymorph energy (0 for the lowest one): 0 meV/atom
crystal system: orthorhombic

Lattice parameters (Å, degrees): 6.0139 5.9275 12.0646 90.00 90.00 90.00
Atoms (fractional coordinates):
Ti: 0.0000 0.7500 0.8680
Ti: 0.5000 0.7500 0.8680
Ti: 0.5000 0.2500 0.1320
Ti: 0.0000 0.2500 0.1320
Hf: 0.5000 0.7500 0.5001
Hf: 0.7500 0.5239 0.2975
Hf: 0.2500 0.1662 0.9340
Hf: 0.5000 0.2500 0.4999
Hf: 0.2500 0.4761 0.7025
Hf: 0.7500 0.3338 0.9340
Hf: 0.7500 0.0239 0.7025
Hf: 0.0000 0.7500 0.5001
Hf: 0.7500 0.8338 0.0660
Hf: 0.2500 0.6662 0.0660
Hf: 0.0000 0.2500 0.4999
Hf: 0.2500 0.9761 0.2975
Sn: 0.2500 0.4840 0.3092
Sn: 0.2500 0.9840 0.6908
Sn: 0.7500 0.5160 0.6908
Sn: 0.7500 0.0160 0.3092

=====

(6)
DFT (PBE) results for a relaxed structure of Hf2TiSn2.

Values from the calculation:
D(E_F): 8.227 states/eV per cell
polymorph energy (0 for the lowest one): 0 meV/atom
crystal system: orthorhombic

Lattice parameters (Å, degrees): 4.8089 5.8253 8.0659 90.00 107.34 90.00
Atoms (fractional coordinates):
Ti: 0.6058 0.4762 0.2116
Ti: 0.3942 0.9762 0.7884
Hf: 0.0001 0.2267 0.0001
Hf: 0.9999 0.7267 0.9999
Hf: 0.1915 0.9775 0.3830
Hf: 0.8085 0.4775 0.6170
Sn: 0.8118 0.9775 0.6236
Sn: 0.4219 0.4765 0.8438
Sn: 0.5781 0.9765 0.1562
Sn: 0.1882 0.4775 0.3764

=====

(7)
DFT (PBE) results for a relaxed structure of HfUTiSn.

Values from the calculation:
D(E_F): 7.415 states/eV per cell
crystal system: cubic

Lattice parameters (Å, degrees): 4.9159 4.9159 4.9159 60.00 60.00 60.00
Site moments in Bohr magnetons follow the coordinates.
Atoms (fractional coordinates):
Ti: 0.2500 0.2500 0.2500  0.56
U: 0.5000 0.5000 0.5000  2.10
Hf: 0.7500 0.7500 0.7500  0.15
Sn: 0.0000 0.0000 0.0000  -0.05

=====

(8)
DFT (PBE) results for a relaxed structure of HfTl2Sn.

Values from the calculation:
D(E_F): 6.194 states/eV per cell
polymorph energy (0 for the lowest one): 0 meV/atom
crystal system: tetragonal

Lattice parameters (Å, degrees): 8.3878 8.3878 6.6639 51.00 51.00 90.00
Atoms (fractional coordinates):
Sn: 0.2500 0.7500 0.5000
Sn: 0.5000 0.5000 0.0000
Hf: 0.7500 0.2500 0.5000
Hf: 0.0000 0.0000 0.0000
Tl: 0.8750 0.8838 0.7500
Tl: 0.3750 0.3662 0.7500
Tl: 0.1162 0.6250 0.2500
Tl: 0.6338 0.1250 0.2500

=====

Formation energy from the elements (computed, eV per atom): 1.204, 0.768, 0.003, -0.157, -0.064, -0.273, 0.091, 0.346
Total moment (computed, μB per formula unit): 1.85, 0.00, 0.00, 0.00, 0.00, 0.00, 3.09, 0.00
Density (computed, g cm⁻³): 8.2, 9.7, 7.7, 11.6, 10.8, 9.9, 11.5, 11.0